This record from the Alexandria database describes a relaxed BeRe2Si crystal. The functional is PBE-GGA.

Structure (POSCAR):
```
BeRe2Si
1.0
4.5634 -0.0231 0.0000
1.5128 4.3054 0.0000
-3.0381 -2.1412 2.6477
Re Si Be
2 1 1
Direct
0.0000 0.0000 0.0000
0.2500 0.7500 0.5000
0.5000 0.5000 0.0000
0.7500 0.2500 0.5000
```

Summary:
Symmetry: I-4m2 (119)
ΔE_f (raw), eV per formula unit: 0.22
Calculated total energy, eV per formula unit: -33.83

=====

This record from the Alexandria database describes a relaxed Pm2Pr3ScTe6 crystal. The functional is PBE-GGA.

Structure (POSCAR):
```
Pm2Pr3ScTe6
1.0
-1.8625 -3.9105 0.8863
8.1297 -3.7239 0.6536
-0.9385 4.9016 8.6274
Sc Te Pr Pm
1 6 3 2
Direct
0.5000 0.0000 0.0000
0.6558 0.0812 0.3116
0.3442 0.9188 0.6884
0.9985 0.2304 0.9971
0.3334 0.4192 0.6667
0.0015 0.7696 0.0029
0.6666 0.5808 0.3333
0.5000 0.5000 0.0000
0.1742 0.8376 0.3484
0.8258 0.1624 0.6516
0.1684 0.3347 0.3369
0.8316 0.6653 0.6631
```

Summary:
Symmetry: C2/m (12)
ΔE_f (raw), eV per formula unit: -16.37
Calculated total energy, eV per formula unit: -65.39

=====

This record from the Alexandria database describes a relaxed Sr2Al2Tc crystal. The functional is PBE-GGA.

Structure (POSCAR):
```
Sr2Al2Tc
1.0
-0.8091 -6.5686 1.9944
6.8517 -0.6487 0.6430
-0.3297 1.5962 5.1234
Sr Al Tc
4 4 2
Direct
0.6770 0.8230 0.5000
0.1770 0.6770 0.5000
0.3230 0.1770 0.5000
0.8230 0.3230 0.5000
0.6560 0.1560 0.0000
0.3440 0.8440 0.0000
0.1560 0.3440 0.0000
0.8440 0.6560 0.0000
0.0000 0.0000 0.0000
0.5000 0.5000 0.0000
```

Summary:
Energy of formation, kJ/mol of atoms: 23.23
Distance to the lowest polymorph of the same formula, meV per atom: 0.0
Symmetry: P4/mbm (127)
Calculated total energy, eV per formula unit: -20.01

=====

This record from the Alexandria database describes a relaxed Rb5Cd12Au2 crystal. The functional is PBE-GGA.

Structure (POSCAR):
```
Rb5Cd12Au2
1.0
7.2904 -0.0549 0.6102
-0.2618 7.1595 3.7720
-0.2155 -1.1508 10.8589
Rb Cd Au
5 12 2
Direct
0.0400 0.7172 0.5656
0.5609 0.7615 0.4769
0.9600 0.2828 0.4344
0.4391 0.2385 0.5231
0.5000 0.0000 0.0000
0.7600 0.9222 0.7523
0.3266 0.7842 0.8032
0.2400 0.6745 0.2477
0.0810 0.0856 0.8288
0.3048 0.4615 0.0769
0.3266 0.4126 0.8032
0.6952 0.5385 0.9231
0.9190 0.9144 0.1712
0.6734 0.2158 0.1968
0.7600 0.3255 0.7523
0.2400 0.0778 0.2477
0.6734 0.5874 0.1968
0.0000 0.7123 0.0000
0.0000 0.2877 0.0000
```

Summary:
Energy of formation, kJ/mol of atoms: -2.87
Symmetry: C2/m (12)
Calculated total energy, eV per formula unit: -22.94

=====

This record from the Alexandria database describes a relaxed Cu2Pd crystal. The functional is PBE-GGA.

Structure (POSCAR):
```
Cu2Pd
1.0
-4.0855 0.1443 2.5415
-2.9789 -3.7812 -0.0152
-0.4730 -2.7073 3.9520
Cu Pd
4 2
Direct
0.6250 0.1250 0.6250
0.6250 0.6250 0.6250
0.6250 0.6250 0.1250
0.1250 0.6250 0.6250
0.0000 0.0000 0.0000
0.2500 0.2500 0.2500
```

Summary:
Energy of formation, kJ/mol of atoms: -6.10
Distance to the lowest polymorph of the same formula, meV per atom: 45.7
Symmetry: Fd-3m (227)
Calculated total energy, eV per formula unit: -13.57

=====

This record from the Alexandria database describes a relaxed RbSr2TeO6 crystal. The functional is PBE-GGA.

Structure (POSCAR):
```
RbSr2TeO6
1.0
5.9841 0.0000 0.0330
0.0000 6.5024 0.0000
0.0914 0.0000 8.9465
Sr Te O Rb
4 2 12 2
Direct
0.0058 0.9757 0.2792
0.9942 0.0243 0.7208
0.4942 0.4757 0.2208
0.5058 0.5243 0.7792
0.0000 0.5000 0.0000
0.5000 0.0000 0.5000
0.2810 0.6462 0.0151
0.1316 0.2811 0.1227
0.8684 0.7189 0.8773
0.8811 0.6346 0.1802
0.6316 0.2189 0.6227
0.3811 0.8654 0.6802
0.7190 0.3538 0.9849
0.1189 0.3654 0.8198
0.7810 0.8538 0.5151
0.6189 0.1346 0.3198
0.2190 0.1462 0.4849
0.3684 0.7811 0.3773
0.0000 0.5000 0.5000
0.5000 0.0000 0.0000
```

Summary:
Symmetry: P2_1/c (14)
ΔE_f (raw), eV per formula unit: -18.84
Calculated total energy, eV per formula unit: -56.06